Record 1
Material: YCdPb2
Method: DFT, GGA-PBE
State: relaxed

Lattice parameters (Å, degrees): 3.5778 3.5778 8.9760 90.00 90.00 90.00
Last column: nearest neighbours and their distance in Å.
Element x y z (fractional)
Pb  0.0000  0.0000  0.9792  4 Cd 3.32, 8 Pb 3.58-3.60
Pb  0.5000  0.5000  0.2652  4 Y 3.39, 8 Pb 3.58-3.60
Cd  0.5000  0.5000  0.7397  4 Y 3.23, 4 Pb 3.32, 4 Cd 3.58
Y  0.0000  0.0000  0.5159  4 Cd 3.23, 4 Pb 3.39, 4 Y 3.58

Results
- N(E_F): 0.79 states/eV per atom
- SG: No. 99
- Formation enthalpy at 0 K: -0.147 eV/atom


Record 2
Material: YCd2Pb2
Method: DFT, GGA-PBE
State: relaxed

Lattice parameters (Å, degrees): 4.5664 4.6191 12.5340 90.00 100.50 90.00
Last column: nearest neighbours and their distance in Å.
Element x y z (fractional)
Pb  0.1342  0.2500  0.2684  4 Cd 3.21-3.24, 4 Y 3.26
Pb  0.7493  0.2500  0.4985  4 Pb 3.25, 4 Y 3.46-3.47
Pb  0.8658  0.7500  0.7316  4 Cd 3.21-3.24, 4 Y 3.26
Pb  0.2507  0.7500  0.5015  4 Pb 3.25, 4 Y 3.46-3.47
Y  0.6445  0.7500  0.2890  8 Pb 3.26-3.47, 4 Cd 3.38-3.44
Y  0.3555  0.2500  0.7110  8 Pb 3.26-3.47, 4 Cd 3.38-3.44
Cd  0.5408  0.2500  0.0817  8 Cd 3.06-3.25, 2 Pb 3.24
Cd  0.0436  0.7500  0.0872  8 Cd 3.09-3.25, 2 Pb 3.21, 2 Y 3.38
Cd  0.4592  0.7500  0.9183  8 Cd 3.06-3.25, 2 Pb 3.24
Cd  0.9564  0.2500  0.9128  8 Cd 3.09-3.25, 2 Pb 3.21, 2 Y 3.38

Results
- N(E_F): 0.52 states/eV per atom
- Relative energy among the computed polymorphs: 0.000 eV/atom
- SG: No. 63
- Formation enthalpy at 0 K: -0.249 eV/atom


Record 3
Material: YCdPb2
Method: DFT, GGA-PBE
State: relaxed

Lattice parameters (Å, degrees): 5.3669 3.4100 6.2292 87.71 90.00 90.00
Last column: nearest neighbours and their distance in Å.
Element x y z (fractional)
Y  0.5000  0.2500  0.2500  8 Pb 3.35-3.75, 2 Y 3.41, 4 Cd 3.49-3.61
Pb  0.0000  0.8883  0.0035  2 Cd 3.16, 4 Pb 3.18-3.41, 2 Y 3.35
Pb  0.0000  0.6117  0.4965  2 Cd 3.16, 4 Pb 3.18-3.41, 2 Y 3.35
Cd  0.5000  0.7500  0.7500  4 Pb 3.16, 2 Cd 3.41, 2 Y 3.49

Results
- N(E_F): 0.82 states/eV per atom
- SG: No. 10
- Formation enthalpy at 0 K: -0.159 eV/atom


Record 4
Material: YCdPb2
Method: DFT, GGA-PBE
State: relaxed

Lattice parameters (Å, degrees): 5.4616 5.4616 5.4616 60.00 60.00 60.00
Last column: nearest neighbours and their distance in Å.
Element x y z (fractional)
Pb  0.2500  0.2500  0.2500  4 Cd 3.34, 4 Pb 3.34
Pb  0.0000  0.0000  0.0000  4 Pb 3.34, 4 Y 3.34
Cd  0.5000  0.5000  0.5000  4 Y 3.34, 4 Pb 3.34
Y  0.7500  0.7500  0.7500  4 Cd 3.34, 4 Pb 3.34

Results
- N(E_F): 0.60 states/eV per atom
- SG: No. 216
- Formation enthalpy at 0 K: -0.131 eV/atom